{
  "formula": "AlCrCdF6",
  "functional": "PBE+U",
  "state": "relaxed",
  "energy_ev_per_atom": -5.182,
  "sg": "P-31c (163)",
  "cell": [[-4.026, 1.507, -3.430], [1.880, -5.168, -0.067], [-6.526, -2.460, 6.581]],
  "species": ["Al", "Al", "Cr", "Cr", "Cd", "Cd", "F", "F", "F", "F", "F", "F", "F", "F", "F", "F", "F", "F"],
  "frac_coords": [[0.667, 0.333, 0.250], [0.333, 0.667, 0.750], [0.333, 0.667, 0.250], [0.667, 0.333, 0.750], [0.000, 0.000, 0.000], [0.000, 0.000, 0.500], [0.663, 0.609, 0.142], [0.946, 0.337, 0.142], [0.337, 0.946, 0.642], [0.054, 0.663, 0.858], [0.391, 0.337, 0.358], [0.946, 0.609, 0.358], [0.609, 0.946, 0.858], [0.663, 0.054, 0.358], [0.054, 0.391, 0.642], [0.391, 0.054, 0.142], [0.609, 0.663, 0.642], [0.337, 0.391, 0.858]]
}